(1)
# SrAlInAu2

A relaxed SrAlInAu2 crystal (PBE, Alexandria via LeMat-Bulk).

The space group is I-4m2 (No. 119) and the conventional cell measures 4.4642, 4.4642 and 11.9749 Å, with angles of 90.00, 90.00 and 90.00 degrees. The asymmetric unit holds Sr at (0.0000, 0.0000, 0.0000), Al at (0.0000, 0.5000, 0.2500), In at (0.0000, 0.5000, 0.7500) and Au at (0.0000, 0.0000, 0.3829).

The calculation puts the formation energy at -547 meV/atom. The magnetic moment is 0.0 μB/cell. The crystal system is tetragonal. The total energy comes out at -3.49 eV per atom.

***

(2)
# CaSn3F

A relaxed CaSn3F crystal (PBE, Alexandria via LeMat-Bulk).

The space group is Pm-3m (No. 221) and the conventional cell measures 5.8700, 5.8700 and 5.8700 Å, with angles of 90.00, 90.00 and 90.00 degrees. The asymmetric unit holds Ca at (0.0000, 0.0000, 0.0000), Sn at (0.0000, 0.0000, 0.5000) and F at (0.5000, 0.5000, 0.5000).

The magnetic moment is 0.0 μB/cell. The calculation puts the uncorrected formation energy at 0.442 eV per atom. The crystal system is cubic. As for the energy relative to the lowest polymorph listed for this composition: 1.128 eV per atom. The total energy comes out at -2.73 eV per atom.

***

(3)
# NpPaNiPt

A relaxed NpPaNiPt crystal (PBE, Alexandria via LeMat-Bulk).

The space group is F-43m (No. 216) and the conventional cell measures 6.5963, 6.5963 and 6.5963 Å, with angles of 90.00, 90.00 and 90.00 degrees. The asymmetric unit holds Np at (0.0000, 0.0000, 0.0000), Pa at (0.2500, 0.2500, 0.2500), Ni at (0.2500, 0.2500, 0.7500) and Pt at (0.0000, 0.0000, 0.5000).

The calculation puts the formation energy at -524 meV/atom. The magnetic moment is 16.1 μB/cell. The crystal system is cubic. The total energy comes out at -9.09 eV per atom.

***

(4)
# Ho2PaRh

A relaxed Ho2PaRh crystal (PBE, Alexandria via LeMat-Bulk).

The space group is R-3m (No. 166, hexagonal axes) and the conventional cell measures 3.2968, 3.2968 and 31.6332 Å, with angles of 90.00, 90.00 and 120.00 degrees. The asymmetric unit holds Ho at (0.0000, 0.0000, 0.1022), Pa at (0.0000, 0.0000, 0.0000) and Rh at (0.0000, 0.0000, 0.5000).

The calculation puts the formation energy at -11 meV/atom. The magnetic moment is 0.0 μB/cell. The crystal system is trigonal. As for the energy relative to the lowest polymorph listed for this composition: 0.297 eV per atom. The total energy comes out at -6.51 eV per atom.

***

(5)
# ScTa2Al

A relaxed ScTa2Al crystal (PBE, Alexandria via LeMat-Bulk).

The space group is Cmmm (No. 65) and the conventional cell measures 5.7604, 8.8425 and 2.9188 Å, with angles of 90.00, 90.00 and 90.00 degrees. The asymmetric unit holds Sc at (0.0000, 0.0000, 0.0000), Ta at (0.2500, 0.2500, 0.5000) and Al at (0.0000, 0.5000, 0.0000).

The calculation puts the formation energy at 19 meV/atom. The magnetic moment is 0.0 μB/cell. The crystal system is orthorhombic. The total energy comes out at -8.43 eV per atom.

***

(6)
# Ti15Tl2In2

A relaxed Ti15Tl2In2 crystal (PBE, Alexandria via LeMat-Bulk).

The space group is R-3m (No. 166, hexagonal axes) and the conventional cell measures 9.2139, 9.2139 and 14.7042 Å, with angles of 90.00, 90.00 and 120.00 degrees. The asymmetric unit holds Ti at (0.0000, 0.3014, 0.0000), Ti at (0.0000, 0.5000, 0.5000), Ti at (0.0197, 0.5098, 0.1383), Tl at (0.0000, 0.0000, 0.3283) and In at (0.0000, 0.0000, 0.0985).

The calculation puts the formation energy at 261 meV/atom. The magnetic moment is 13.2 μB/cell. The crystal system is trigonal. The total energy comes out at -6.51 eV per atom.

***

(7)
# Cs2Np2FeS6

A relaxed Cs2Np2FeS6 crystal (PBE, Alexandria via LeMat-Bulk).

The space group is C2/m (No. 12) and the conventional cell measures 6.7709, 11.6711 and 8.5258 Å, with angles of 90.00, 105.27 and 90.00 degrees. The asymmetric unit holds Cs at (0.0000, 0.1664, 0.0000), Np at (0.0000, 0.3333, 0.5000), Fe at (0.0000, 0.0000, 0.5000), S at (0.2189, 0.1613, 0.6720) and S at (0.2394, 0.5000, 0.6691).

The magnetic moment is 20.1 μB/cell. The calculation puts the uncorrected formation energy at -1.082 eV per atom. The crystal system is monoclinic. The total energy comes out at -6.61 eV per atom.

***

(8)
# SrAl2GaCo

A relaxed SrAl2GaCo crystal (PBE, Alexandria via LeMat-Bulk).

The space group is P4/mmm (No. 123) and the conventional cell measures 4.6116, 4.6116 and 4.6614 Å, with angles of 90.00, 90.00 and 90.00 degrees. The asymmetric unit holds Sr at (0.0000, 0.0000, 0.0000), Al at (0.0000, 0.5000, 0.5000), Ga at (0.5000, 0.5000, 0.0000) and Co at (0.5000, 0.5000, 0.5000).

The calculation puts the formation energy at -312 meV/atom. The magnetic moment is 0.0 μB/cell. The crystal system is tetragonal. The total energy comes out at -4.17 eV per atom.